[1]
# Rb2HfCuC (PBE-GGA, relaxed)
# energy relative to the elements = 2.264 eV/atom
# total magnetic moment = 1.0125 μB per atom
data_Rb2HfCuC
_chemical_formula_sum 'Rb2 Hf1 Cu1 C1'
_cell_length_a 7.000
_cell_length_b 7.000
_cell_length_c 4.920
_cell_angle_alpha 90.00
_cell_angle_beta 90.00
_cell_angle_gamma 90.00
_symmetry_space_group_name_H-M 'P 1'
_symmetry_Int_Tables_number 1
loop_
_symmetry_equiv_pos_as_xyz
'x,y,z'
loop_
_atom_site_label
_atom_site_fract_x
_atom_site_fract_y
_atom_site_fract_z
Rb1 0.000 0.500 0.000
Rb2 0.500 0.000 0.000
Hf1 0.000 0.000 0.000
Cu1 0.000 0.000 0.500
C1 0.500 0.500 0.500

=====

[2]
# Li2CaHg6 (PBE-GGA, relaxed)
# offset from the most stable computed form = 0 meV/atom
# energy relative to the elements = -0.289 eV/atom
# total magnetic moment = 0.0000 μB per atom
data_Li2CaHg6
_chemical_formula_sum 'Li4 Ca2 Hg12'
_cell_length_a 9.533
_cell_length_b 9.533
_cell_length_c 4.929
_cell_angle_alpha 90.00
_cell_angle_beta 90.00
_cell_angle_gamma 68.93
_symmetry_space_group_name_H-M 'P 1'
_symmetry_Int_Tables_number 1
loop_
_symmetry_equiv_pos_as_xyz
'x,y,z'
loop_
_atom_site_label
_atom_site_fract_x
_atom_site_fract_y
_atom_site_fract_z
Li1 0.130 0.306 0.250
Li2 0.306 0.130 0.750
Li3 0.694 0.870 0.250
Li4 0.870 0.694 0.750
Ca1 0.253 0.747 0.750
Ca2 0.747 0.253 0.250
Hg1 0.001 0.192 0.750
Hg2 0.131 0.456 0.750
Hg3 0.192 0.001 0.250
Hg4 0.307 0.502 0.250
Hg5 0.456 0.131 0.250
Hg6 0.498 0.693 0.250
Hg7 0.502 0.307 0.750
Hg8 0.544 0.869 0.750
Hg9 0.693 0.498 0.750
Hg10 0.808 0.999 0.750
Hg11 0.869 0.544 0.250
Hg12 0.999 0.808 0.250

=====

[3]
# HfZr2Ni (PBE-GGA, relaxed)
# energy relative to the elements = -0.195 eV/atom
# total magnetic moment = 0.0000 μB per atom
data_HfZr2Ni
_chemical_formula_sum 'Hf1 Zr2 Ni1'
_cell_length_a 3.216
_cell_length_b 3.216
_cell_length_c 7.564
_cell_angle_alpha 90.00
_cell_angle_beta 90.00
_cell_angle_gamma 90.00
_symmetry_space_group_name_H-M 'P 1'
_symmetry_Int_Tables_number 1
loop_
_symmetry_equiv_pos_as_xyz
'x,y,z'
loop_
_atom_site_label
_atom_site_fract_x
_atom_site_fract_y
_atom_site_fract_z
Hf1 0.000 0.000 0.000
Zr1 0.500 0.500 0.284
Zr2 0.500 0.500 0.716
Ni1 0.000 0.000 0.500